Record 1
Computed, not measured: a relaxed structure of KAlZn2Rh at the GGA-PBE level of DFT.

Results
Formation energy from the elements = 0.301 eV per atom

Structure (extended XYZ):
```
5
Lattice="-0.2315 -1.3355 -4.8163 -1.5441 -4.2323 1.2478 -4.7169 1.6527 -0.2315" Properties=species:S:1:pos:R:3 pbc="T T T"
Zn -2.3585 0.8263 -0.1158
Zn -0.1158 -0.6678 -2.4082
Rh -0.7721 -2.1161 0.6239
K -3.2463 -1.9576 -1.9000
Al 0.0000 0.0000 0.0000
```

Record 2
Computed, not measured: a relaxed structure of CsAs2Pt at the GGA-PBE level of DFT.

Results
Formation energy from the elements = -0.428 eV per atom

Structure (extended XYZ):
```
4
Lattice="4.1359 0.0000 0.0000 2.0680 3.5818 0.0000 2.0680 1.1939 7.2429" Properties=species:S:1:pos:R:3 pbc="T T T"
Cs 4.1359 2.3879 3.6214
As 2.0680 1.1939 0.9651
As 6.2039 3.5818 6.2778
Pt 0.0000 0.0000 0.0000
```

Record 3
Computed, not measured: a relaxed structure of CsRbP2Se8 at the GGA-PBE level of DFT.

Results
Formation energy from raw total energies = -0.360 eV/atom

Structure (extended XYZ):
```
12
Lattice="-3.0065 -5.0811 -5.7969 3.7879 -8.2390 -0.6478 -1.9996 -8.5605 2.6357" Properties=species:S:1:pos:R:3 pbc="T T T"
Cs -0.6091 -10.9403 -1.9045
Rb 0.0000 0.0000 0.0000
P 0.5155 -5.6051 -1.2593
P -1.7338 -16.2755 -2.5497
Se -1.6001 -14.6878 -4.0107
Se -1.6433 -7.8463 -4.0801
Se 0.3818 -7.1928 0.2017
Se 0.4251 -14.0344 0.2711
Se -1.2749 -5.2454 -2.5674
Se 0.0567 -16.6353 -1.2416
Se -0.2966 -3.5920 -0.6812
Se -0.9217 -18.2886 -3.1278
```

Record 4
Computed, not measured: a relaxed structure of Tl6Se2I2Cl at the GGA-PBE level of DFT.

Results
Formation energy from raw total energies = -0.518 eV/atom

Structure (extended XYZ):
```
11
Lattice="8.0596 -0.2123 0.0837 -4.1681 6.9014 0.0837 -1.3733 -2.3605 8.1710" Properties=species:S:1:pos:R:3 pbc="T T T"
Tl 1.9021 3.2695 5.8673
Tl -2.2654 1.2132 5.8598
Tl 0.6162 1.0591 2.4711
Tl 2.1744 -1.3697 5.8598
Tl 4.7837 3.1153 2.4786
Tl 0.3439 5.6983 2.4786
Se -0.8150 3.3710 4.1692
Se 3.3333 0.9576 4.1692
I 6.0754 0.9420 0.0837
I -2.1839 5.7471 0.0837
Cl -0.6866 -1.1803 4.0855
```

Record 5
Computed, not measured: a relaxed structure of LiFeSe2 at the GGA-PBE level of DFT.

Results
Formation energy from raw total energies = -0.373 eV/atom

Structure (extended XYZ):
```
4
Lattice="3.3624 0.0000 0.0000 0.0000 4.1673 -0.8589 0.0000 -1.7260 6.8078" Properties=species:S:1:pos:R:3 pbc="T T T"
Fe 1.6812 0.6103 1.4872
Li 1.6812 1.8310 4.4616
Se 0.0000 1.0199 -0.1613
Se 0.0000 0.2008 3.1357
```

Record 6
Computed, not measured: a relaxed structure of Sn2AsBr at the GGA-PBE level of DFT.

Results
Formation energy from raw total energies = -0.130 eV/atom

Structure (extended XYZ):
```
8
Lattice="4.7652 0.0000 0.0000 0.0000 6.1771 -2.7230 0.0000 -0.0115 8.3418" Properties=species:S:1:pos:R:3 pbc="T T T"
Sn 1.1913 2.2318 0.7001
Sn 3.5739 3.9338 4.9187
Sn 3.5739 0.9772 6.2220
Sn 1.1913 5.1884 -0.6032
As 3.5739 3.4845 -0.4634
As 1.1913 2.6811 6.0822
Br 1.1913 4.8061 2.5347
Br 3.5739 1.3595 3.0841
```

Record 7
Computed, not measured: a relaxed structure of RbTcBr3 at the GGA-PBE level of DFT.

Results
Formation energy from raw total energies = -0.602 eV/atom

Structure (extended XYZ):
```
10
Lattice="-4.9895 5.7472 0.1335 -1.9036 -1.4849 -7.2190 -7.2759 -1.2329 -1.8410" Properties=species:S:1:pos:R:3 pbc="T T T"
Br -5.3612 0.4492 -2.6919
Br -8.8078 2.5803 -6.2346
Br -1.7233 1.0656 -1.7714
Br -5.1698 3.1967 -5.3141
Br -4.2180 3.9392 -1.7046
Br -2.6751 0.3231 -5.3809
Tc -3.4465 2.1312 -3.5427
Tc 0.0000 0.0000 0.0000
Rb -7.8559 3.3227 -2.6251
Rb -6.3130 -0.2933 -6.3014
```

Record 8
Computed, not measured: a relaxed structure of RbFe2HgCl6 at the GGA-PBE level of DFT.

Results
Formation energy from raw total energies = -0.930 eV/atom

Structure (extended XYZ):
```
20
Lattice="10.5262 1.1146 2.0226 -0.1825 10.5835 2.0226 -0.9410 -1.0642 5.8307" Properties=species:S:1:pos:R:3 pbc="T T T"
Rb 1.7126 8.4337 3.4803
Rb 7.6901 2.2001 6.3957
Fe 2.4160 0.9899 5.8255
Fe 8.2456 7.5828 6.9659
Fe 6.9867 9.6440 4.0505
Fe 1.1571 3.0511 2.9101
Hg 5.6970 4.9106 3.4803
Hg 3.7057 5.7232 6.3957
Cl 9.8029 3.5416 3.9588
Cl 7.5584 1.0032 3.0018
Cl -0.4002 7.0922 5.9172
Cl 1.8443 9.6306 6.8742
Cl 2.8653 1.6275 2.2518
Cl 8.6087 8.1230 4.7088
Cl 6.5374 9.0063 7.6242
Cl 0.7940 2.5109 5.1672
Cl 1.8244 5.1271 2.8409
Cl 5.0080 8.7276 4.1197
Cl 7.5783 5.5067 7.0350
Cl 4.3947 1.9063 5.7563
```

Record 9
Computed, not measured: a relaxed structure of TmSbPt at the GGA-PBE level of DFT.

Results
Formation energy from raw total energies = -0.997 eV/atom

Structure (extended XYZ):
```
3
Lattice="3.9266 0.0000 0.0000 0.0000 4.4776 0.0000 0.0000 -2.2388 3.8777" Properties=species:S:1:pos:R:3 pbc="T T T"
Sb 0.4686 0.0000 0.0000
Tm 2.5259 0.0000 2.5851
Pt 0.9321 2.2388 1.2926
```

Record 10
Computed, not measured: a relaxed structure of Cd3Si at the GGA-PBE level of DFT.

Results
Formation energy from raw total energies = 0.241 eV/atom

Structure (extended XYZ):
```
4
Lattice="5.4764 0.1947 0.0000 -1.4441 5.2861 0.0000 0.0000 0.0000 2.9054" Properties=species:S:1:pos:R:3 pbc="T T T"
Cd -0.7221 2.6431 1.4527
Cd 2.7382 0.0973 1.4527
Cd 2.0161 2.7404 0.0000
Si 0.0000 0.0000 0.0000
```

Record 11
Computed, not measured: a relaxed structure of MnSiB at the GGA-PBE level of DFT.

Results
Formation energy from raw total energies = -0.197 eV/atom

Structure (extended XYZ):
```
12
Lattice="5.2579 0.0000 0.0002 0.0000 2.9077 0.0000 -0.2103 0.0000 7.6554" Properties=species:S:1:pos:R:3 pbc="T T T"
Si 1.9317 0.0000 4.8960
Si 3.1160 0.0000 2.7596
Si 2.0368 1.4538 1.0683
Si 3.0108 1.4538 6.5873
Mn 3.9742 0.0000 0.6124
Mn 1.0734 0.0000 7.0432
Mn 3.8691 1.4538 4.4401
Mn 1.1786 1.4538 3.2155
B 4.5915 0.0000 5.9309
B 0.4561 0.0000 1.7247
B 4.6967 1.4538 2.1032
B 0.3510 1.4538 5.5524
```

Record 12
Computed, not measured: a relaxed structure of La6GeRh2Cl3 at the GGA-PBE level of DFT.

Results
Formation energy from raw total energies = -1.239 eV/atom

Structure (extended XYZ):
```
12
Lattice="7.3811 0.0140 -0.0102 -3.6766 6.4003 -0.0102 -1.2454 -2.1565 7.3183" Properties=species:S:1:pos:R:3 pbc="T T T"
La 3.7532 2.0504 5.7009
La 2.4122 4.1768 1.5664
La -1.2941 2.2074 1.5970
La -0.0997 4.2756 5.7009
La 0.0468 0.0811 5.7314
La 2.5587 -0.0177 1.5970
Ge 0.0000 0.0000 0.0000
Rh 0.0017 4.2759 -0.0102
Rh 3.7028 2.1384 -0.0102
Cl -2.5519 4.3128 3.6489
Cl 5.0109 -0.0550 3.6489
Cl 1.2295 2.1289 3.6489
```

Record 13
Computed, not measured: a relaxed structure of KTl2Ru at the GGA-PBE level of DFT.

Results
Formation energy from the elements = 0.803 eV per atom

Structure (extended XYZ):
```
4
Lattice="5.2606 0.0000 0.0000 2.6303 4.5558 0.0000 2.6303 1.5186 4.2952" Properties=species:S:1:pos:R:3 pbc="T T T"
K 5.2606 3.0372 2.1476
Ru 7.8909 4.5558 3.2214
Tl 0.0000 0.0000 0.0000
Tl 2.6303 1.5186 1.0738
```